Compound: Tl3BiB
Source: the Alexandria database
Functional: PBE-GGA
Structure: optimized geometry

```
Tl3BiB
1.0
-5.929 -0.374 -1.501
-1.182 -2.737 5.353
-0.998 5.469 2.576
Tl B Bi
3 1 1
Cartesian
-0.591 -1.369 2.676
-0.499 2.735 1.288
-2.964 -0.187 -0.750
-4.054 1.179 3.214
0.000 0.000 0.000
```

Values from the calculation:
* total DFT energy (no corrections): -2.110 eV/atom
* SG: No. 221
* ΔE_f: 1.42 eV/atom
* distance to the lowest polymorph of the same formula: 0.843 eV per atom